Compound: CaBe3
Source: the Alexandria database
Functional: PBE
Structure: optimized geometry

Cell lengths 2.702, 4.677, 8.948 Å; angles 90.00, 90.00, 90.00 degrees
Fractional coordinates of all 8 atoms:
Ca 0.000 0.000 0.000
Ca 0.500 0.500 0.500
Be 0.000 0.000 0.500
Be 0.000 0.500 0.200
Be 0.000 0.500 0.800
Be 0.500 0.000 0.300
Be 0.500 0.000 0.700
Be 0.500 0.500 0.000

Properties
The value obtained for the total energy is -2.644 eV/atom. Its crystal system is orthorhombic. The calculation puts the formation energy at 0.651 eV/atom. The calculation puts the energy relative to the lowest polymorph listed for this composition at 0.589 eV per atom.